The following is a GGA-PBE calculation of a geometry-optimized ThGa4 structure, from Alexandria.

Summary:
DFT formation energy = -2.06 eV/f.u.
energy = -4.32 eV/atom
distance to the lowest polymorph of the same formula = 0.000 eV per formula unit
Fermi-level density of states = 4.4 states/eV per cell

abc: 4.556 6.450 7.991
angles: 113.80 106.56 90.00
Positions (direct):
Ga 0.111 0.361 0.222
Ga 0.699 0.243 0.398
Ga 0.889 0.639 0.778
Ga 0.301 0.345 0.602
Ga 0.699 0.655 0.398
Ga 0.500 0.500 0.000
Ga 0.301 0.757 0.602
Ga 0.500 0.000 0.000
Th 0.886 0.136 0.773
Th 0.114 0.864 0.227